Run P
Below is an optimized crystal structure of LiPuInPb, with properties calculated at the PBE-GGA level.

Computed properties:
- mass density (Mg/m³) = 9.31
- crystal system = cubic
- space-group type = No. 216
- M_tot (μB per atom) = 1.44
- D(E_F) (states/eV/atom) = 3.305

abc: 5.2478 5.2478 5.2478
angles: 60.00 60.00 60.00
Sites, in units of the cell vectors:
Li: 0.0000 0.0000 0.0000
Pu: 0.5000 0.5000 0.5000
In: 0.2500 0.2500 0.2500
Pb: 0.7500 0.7500 0.7500

Run Q
Below is an optimized crystal structure of LiPuInPb, with properties calculated at the PBE-GGA level.

Computed properties:
- mass density (Mg/m³) = 9.16
- crystal system = orthorhombic
- space-group type = No. 47
- M_tot (μB per atom) = 1.44
- D(E_F) (states/eV/atom) = 2.577

abc: 3.3871 5.4934 5.5798
angles: 90.00 90.00 90.00
Sites, in units of the cell vectors:
Li: 0.0000 0.0000 0.0000
Pu: 0.0000 0.5000 0.5000
In: 0.5000 0.0000 0.5000
Pb: 0.5000 0.5000 0.0000

run P takes first place; second place is 19 meV per atom up.